Entry 1:
This record from Alexandria via LeMat-Bulk describes a relaxed structure of CuSO4F. The functional is PBE-GGA.

Cell and atoms, written as POSCAR:
```
CuSO4F
1.0
5.129 0.000 0.000
0.000 5.382 0.000
-0.674 0.000 6.384
Cu S O F
2 2 8 2
Cartesian
0.855 1.345 2.880
3.599 4.036 3.504
1.134 4.036 4.608
3.321 1.345 1.776
0.289 2.795 4.367
0.289 5.277 4.367
1.835 1.345 1.279
1.829 4.036 3.082
2.626 1.345 3.301
2.619 4.036 5.105
4.166 0.105 2.017
4.166 2.586 2.017
0.769 4.036 6.238
3.685 1.345 0.146
```

## Properties
- Magnetization: 0.00 Bohr magnetons per cell
- Density of states at the Fermi level: 4.495 states/eV per cell
- Energy relative to the elements, uncorrected: -751 meV/atom

---

Entry 2:
This record from Alexandria via LeMat-Bulk describes a relaxed structure of CuSOF. The functional is PBE-GGA.

Cell and atoms, written as POSCAR:
```
CuSOF
1.0
3.788 0.000 0.000
-1.270 5.183 0.000
-0.042 -1.345 5.962
Cu S O F
2 2 2 2
Cartesian
0.000 0.000 0.000
1.160 1.608 2.920
-0.039 3.222 0.186
0.955 3.034 4.581
0.925 3.161 1.293
3.214 0.560 5.646
1.197 0.416 1.426
3.041 1.469 2.962
```

## Properties
- Magnetization: 0.00 Bohr magnetons per cell
- Density of states at the Fermi level: 3.181 states/eV per cell
- Energy relative to the elements, uncorrected: -849 meV/atom

---

Entry 3:
This record from Alexandria via LeMat-Bulk describes a relaxed structure of CuSO2F. The functional is PBE-GGA.

Cell and atoms, written as POSCAR:
```
CuSO2F
1.0
3.857 0.000 0.000
0.000 3.857 0.000
0.000 0.000 3.735
Cu S O F
1 1 2 1
Cartesian
0.000 0.000 0.000
1.928 1.928 1.868
0.000 1.928 0.000
1.928 0.000 0.000
0.000 0.000 1.868
```

## Properties
- Magnetization: 0.00 Bohr magnetons per cell
- Density of states at the Fermi level: 3.326 states/eV per cell
- Energy relative to the elements, uncorrected: 213 meV/atom

---

Entry 4:
This record from Alexandria via LeMat-Bulk describes a relaxed structure of CuSO2F. The functional is PBE-GGA.

Cell and atoms, written as POSCAR:
```
CuSO2F
1.0
3.438 0.000 0.000
0.000 3.438 0.000
0.000 0.000 5.499
Cu S O F
1 1 2 1
Cartesian
0.000 0.000 0.000
1.719 1.719 2.749
0.000 1.719 2.749
1.719 0.000 2.749
1.719 1.719 0.000
```

## Properties
- Magnetization: 0.05 Bohr magnetons per cell
- Density of states at the Fermi level: 2.359 states/eV per cell
- Energy relative to the elements, uncorrected: -117 meV/atom

---

Entry 5:
This record from Alexandria via LeMat-Bulk describes a relaxed structure of CuS2O6F2. The functional is PBE-GGA.

Cell and atoms, written as POSCAR:
```
CuS2O6F2
1.0
5.018 0.000 0.000
-2.509 4.346 0.000
0.000 0.000 7.132
Cu S O F
1 2 6 2
Cartesian
0.000 0.000 0.000
0.000 2.897 5.568
2.509 1.449 1.565
-1.410 3.042 5.905
0.580 1.603 5.905
1.678 0.300 1.227
0.831 4.046 5.905
1.929 2.743 1.227
3.919 1.303 1.227
0.000 2.897 3.982
2.509 1.449 3.150
```

## Properties
- Magnetization: 1.00 Bohr magnetons per cell
- Density of states at the Fermi level: 5.851 states/eV per cell
- Energy relative to the elements, uncorrected: -1277 meV/atom

---

Entry 6:
This record from Alexandria via LeMat-Bulk describes a relaxed structure of CuSOF. The functional is PBE-GGA.

Cell and atoms, written as POSCAR:
```
CuSOF
1.0
4.505 0.000 0.000
-0.458 5.040 0.000
-0.105 -1.885 4.819
Cu S O F
2 2 2 2
Cartesian
0.000 0.000 0.000
2.200 -0.943 2.409
0.169 0.181 3.914
3.773 2.973 0.904
0.322 2.831 2.016
3.620 0.323 2.803
1.501 0.305 1.083
2.441 2.849 3.735
```

## Properties
- Magnetization: 0.00 Bohr magnetons per cell
- Density of states at the Fermi level: 0.135 states/eV per cell
- Energy relative to the elements, uncorrected: -823 meV/atom

---

Entry 7:
This record from Alexandria via LeMat-Bulk describes a relaxed structure of CuSbOF2. The functional is PBE-GGA.

Cell and atoms, written as POSCAR:
```
CuSbOF2
1.0
4.071 0.000 0.000
0.000 4.071 0.000
0.000 0.000 3.903
Cu Sb O F
1 1 1 2
Cartesian
0.000 0.000 0.000
2.035 2.035 1.951
0.000 0.000 1.951
0.000 2.035 0.000
2.035 0.000 0.000
```

## Properties
- Magnetization: 0.00 Bohr magnetons per cell
- Density of states at the Fermi level: 3.414 states/eV per cell
- Energy relative to the elements, uncorrected: -892 meV/atom

---

Entry 8:
This record from Alexandria via LeMat-Bulk describes a relaxed structure of CuSbOF2. The functional is PBE-GGA.

Cell and atoms, written as POSCAR:
```
CuSbOF2
1.0
4.440 0.000 0.000
0.000 4.440 0.000
0.000 0.000 4.222
Cu Sb O F
1 1 1 2
Cartesian
0.000 0.000 0.000
2.220 2.220 2.111
2.220 2.220 0.000
0.000 2.220 2.111
2.220 0.000 2.111
```

## Properties
- Magnetization: 0.00 Bohr magnetons per cell
- Density of states at the Fermi level: 1.046 states/eV per cell
- Energy relative to the elements, uncorrected: -963 meV/atom

---

Entry 9:
This record from Alexandria via LeMat-Bulk describes a relaxed structure of ScCuOF2. The functional is PBE-GGA.

Cell and atoms, written as POSCAR:
```
ScCuOF2
1.0
4.069 0.000 0.000
0.000 4.069 0.000
0.000 0.000 4.081
Sc Cu O F
1 1 1 2
Cartesian
0.000 0.000 0.000
2.034 2.034 2.041
0.000 0.000 2.041
0.000 2.034 0.000
2.034 0.000 0.000
```

## Properties
- Magnetization: 0.00 Bohr magnetons per cell
- Density of states at the Fermi level: 0.249 states/eV per cell
- Energy relative to the elements, uncorrected: -2319 meV/atom

---

Entry 10:
This record from Alexandria via LeMat-Bulk describes a relaxed structure of CuSeO2F. The functional is PBE-GGA.

Cell and atoms, written as POSCAR:
```
CuSeO2F
1.0
3.883 0.000 0.000
0.000 3.883 0.000
0.000 0.000 4.247
Cu Se O F
1 1 2 1
Cartesian
0.000 0.000 0.000
1.941 1.941 2.124
0.000 1.941 2.124
1.941 0.000 2.124
1.941 1.941 0.000
```

## Properties
- Magnetization: 0.15 Bohr magnetons per cell
- Density of states at the Fermi level: 6.417 states/eV per cell
- Energy relative to the elements, uncorrected: -229 meV/atom

---

Entry 11:
This record from Alexandria via LeMat-Bulk describes a relaxed structure of CuSeO2F. The functional is PBE-GGA.

Cell and atoms, written as POSCAR:
```
CuSeO2F
1.0
3.899 0.000 0.000
0.000 3.899 0.000
0.000 0.000 3.766
Cu Se O F
1 1 2 1
Cartesian
0.000 0.000 0.000
1.950 1.950 1.883
0.000 1.950 0.000
1.950 0.000 0.000
0.000 0.000 1.883
```

## Properties
- Magnetization: 0.00 Bohr magnetons per cell
- Density of states at the Fermi level: 3.084 states/eV per cell
- Energy relative to the elements, uncorrected: -59 meV/atom

---

Entry 12:
This record from Alexandria via LeMat-Bulk describes a relaxed structure of CuSiO2F. The functional is PBE-GGA.

Cell and atoms, written as POSCAR:
```
CuSiO2F
1.0
3.480 0.000 0.000
0.000 3.480 0.000
0.000 0.000 3.808
Cu Si O F
1 1 2 1
Cartesian
0.000 0.000 0.000
1.740 1.740 1.904
0.000 1.740 1.904
1.740 0.000 1.904
1.740 1.740 0.000
```

## Properties
- Magnetization: 0.00 Bohr magnetons per cell
- Density of states at the Fermi level: 0.406 states/eV per cell
- Energy relative to the elements, uncorrected: -1526 meV/atom